No. 1
# HgAu2Cl (PBE, optimized geometry)
# Energy above the lowest structure with this stoichiometry in meV/atom: 104
# Energy in eV/atom: -2.106
data_HgAu2Cl
_cell_length_a 3.3923
_cell_length_b 5.9988
_cell_length_c 8.7284
_cell_angle_alpha 90.00
_cell_angle_beta 90.00
_cell_angle_gamma 90.00
_space_group_name_H-M_alt 'C m m 2'
_space_group_IT_number 35
loop_
_space_group_symop_operation_xyz
'x,y,z'
'-x,-y,z'
'-x,y,z'
'x,-y,z'
'x+1/2,y+1/2,z'
'-x+1/2,-y+1/2,z'
'-x+1/2,y+1/2,z'
'x+1/2,-y+1/2,z'
loop_
_atom_site_label
_atom_site_fract_x
_atom_site_fract_y
_atom_site_fract_z
_atom_site_occupancy
Hg1 0.0000 0.0000 0.0000 1
Au1 0.0000 0.0000 0.5014 1
Au2 0.0000 0.5000 0.7417 1
Cl1 0.0000 0.5000 0.2730 1

No. 2
# CaGeHPd2 (PBE, optimized geometry)
# Energy in eV/atom: -4.757
data_CaGeHPd2
_cell_length_a 3.7298
_cell_length_b 11.2390
_cell_length_c 7.5057
_cell_angle_alpha 90.00
_cell_angle_beta 90.00
_cell_angle_gamma 90.00
_space_group_name_H-M_alt 'C m c m'
_space_group_IT_number 63
_space_group_name_Hall '-C 2c 2'
loop_
_atom_site_label
_atom_site_fract_x
_atom_site_fract_y
_atom_site_fract_z
_atom_site_occupancy
Ca1 0.0000 0.0409 0.2500 1
Ge1 0.0000 0.2360 0.7500 1
H1 0.0000 0.5000 0.0000 1
Pd1 0.0000 0.3441 0.0533 1

No. 3
# Th2TeRh (PBE, optimized geometry)
# Energy above the lowest structure with this stoichiometry in meV/atom: 33
# Energy in eV/atom: -7.340
data_Th2TeRh
_cell_length_a 4.1513
_cell_length_b 4.1513
_cell_length_c 23.5146
_cell_angle_alpha 90.00
_cell_angle_beta 90.00
_cell_angle_gamma 120.00
_space_group_name_H-M_alt 'R 3 m'
_space_group_IT_number 160
_space_group_name_Hall 'R 3 -2"'
loop_
_atom_site_label
_atom_site_fract_x
_atom_site_fract_y
_atom_site_fract_z
_atom_site_occupancy
Th1 0.0000 0.0000 0.0000 1
Th2 0.0000 0.0000 0.1981 1
Te1 0.0000 0.0000 0.7659 1
Rh1 0.0000 0.0000 0.5975 1

No. 4
# BaAgP (PBE, optimized geometry)
# Formation energy from the elements in eV per atom: -0.5156
# Energy in eV/atom: -3.910
data_BaAgP
_cell_length_a 6.4681
_cell_length_b 6.4681
_cell_length_c 4.7575
_cell_angle_alpha 90.00
_cell_angle_beta 90.00
_cell_angle_gamma 90.00
_space_group_name_H-M_alt 'P 4/n m m'
_space_group_IT_number 129
loop_
_space_group_symop_operation_xyz
'x,y,z'
'-x,-y,-z'
'-y+1/2,x,z'
'y+1/2,-x,-z'
'-x+1/2,-y+1/2,z'
'x+1/2,y+1/2,-z'
'y,-x+1/2,z'
'-y,x+1/2,-z'
'x+1/2,-y,-z'
'-x+1/2,y,z'
'-y,-x,-z'
'y,x,z'
'-x,y+1/2,-z'
'x,-y+1/2,z'
'y+1/2,x+1/2,-z'
'-y+1/2,-x+1/2,z'
loop_
_atom_site_label
_atom_site_fract_x
_atom_site_fract_y
_atom_site_fract_z
_atom_site_occupancy
Ba1 0.2500 0.7500 0.0000 1
Ag1 0.2500 0.2500 0.3990 1
P1 0.2500 0.2500 0.8926 1

No. 5
# BaCdF3 (PBE, optimized geometry)
# Energy above the lowest structure with this stoichiometry in meV/atom: 407
# Energy in eV/atom: -4.156
data_BaCdF3
_cell_length_a 4.6702
_cell_length_b 4.6702
_cell_length_c 4.6702
_cell_angle_alpha 90.00
_cell_angle_beta 90.00
_cell_angle_gamma 90.00
_space_group_name_H-M_alt 'P m -3 m'
_space_group_IT_number 221
_space_group_name_Hall '-P 4 2 3'
loop_
_atom_site_label
_atom_site_fract_x
_atom_site_fract_y
_atom_site_fract_z
_atom_site_occupancy
Ba1 0.0000 0.0000 0.0000 1
Cd1 0.5000 0.5000 0.5000 1
F1 0.0000 0.5000 0.5000 1

No. 6
# TmPaOsPb (PBE, optimized geometry)
# Formation energy from the elements in eV per atom: -0.3273
# Energy in eV/atom: -7.554
data_TmPaOsPb
_cell_length_a 3.3003
_cell_length_b 3.3003
_cell_length_c 8.6421
_cell_angle_alpha 90.00
_cell_angle_beta 90.00
_cell_angle_gamma 90.00
_space_group_name_H-M_alt 'P 4 m m'
_space_group_IT_number 99
loop_
_space_group_symop_operation_xyz
'x,y,z'
'-y,x,z'
'-x,-y,z'
'y,-x,z'
'-x,y,z'
'y,x,z'
'x,-y,z'
'-y,-x,z'
loop_
_atom_site_label
_atom_site_fract_x
_atom_site_fract_y
_atom_site_fract_z
_atom_site_occupancy
Tm1 0.0000 0.0000 0.0000 1
Pa1 0.0000 0.0000 0.5885 1
Os1 0.5000 0.5000 0.7851 1
Pb1 0.5000 0.5000 0.2892 1

No. 7
# NaHfGe3 (PBE, optimized geometry)
# Energy above the lowest structure with this stoichiometry in meV/atom: 0
# Formation energy from the elements in eV per atom: 0.1484
# Energy in eV/atom: -4.877
data_NaHfGe3
_cell_length_a 5.2004
_cell_length_b 5.2004
_cell_length_c 5.2004
_cell_angle_alpha 90.00
_cell_angle_beta 90.00
_cell_angle_gamma 90.00
_space_group_name_H-M_alt 'P m -3 m'
_space_group_IT_number 221
_space_group_name_Hall '-P 4 2 3'
loop_
_atom_site_label
_atom_site_fract_x
_atom_site_fract_y
_atom_site_fract_z
_atom_site_occupancy
Na1 0.0000 0.0000 0.0000 1
Hf1 0.5000 0.5000 0.5000 1
Ge1 0.0000 0.5000 0.5000 1

No. 8
# SrIrPb2 (PBE, optimized geometry)
# Formation energy from the elements in eV per atom: 0.0296
# Energy in eV/atom: -4.460
data_SrIrPb2
_cell_length_a 3.6653
_cell_length_b 4.5423
_cell_length_c 13.5525
_cell_angle_alpha 90.00
_cell_angle_beta 90.00
_cell_angle_gamma 90.00
_space_group_name_H-M_alt 'I m m 2'
_space_group_IT_number 44
loop_
_space_group_symop_operation_xyz
'x,y,z'
'-x,-y,z'
'-x,y,z'
'x,-y,z'
'x+1/2,y+1/2,z+1/2'
'-x+1/2,-y+1/2,z+1/2'
'-x+1/2,y+1/2,z+1/2'
'x+1/2,-y+1/2,z+1/2'
loop_
_atom_site_label
_atom_site_fract_x
_atom_site_fract_y
_atom_site_fract_z
_atom_site_occupancy
Sr1 0.0000 0.0000 0.0000 1
Ir1 0.0000 0.5000 0.2994 1
Pb1 0.0000 0.0000 0.6396 1
Pb2 0.0000 0.5000 0.8117 1

Question: Among the records above, which one has the lowest energy?
Answer: TmPaOsPb

Question: What is the energy in the seventh record?
Answer: -4.877 eV/atom

Question: Which of these has the lowest energy?
Answer: TmPaOsPb

Please write out number 4 again, unchanged.
# BaAgP (PBE, optimized geometry)
# Formation energy from the elements in eV per atom: -0.5156
# Energy in eV/atom: -3.910
data_BaAgP
_cell_length_a 6.4681
_cell_length_b 6.4681
_cell_length_c 4.7575
_cell_angle_alpha 90.00
_cell_angle_beta 90.00
_cell_angle_gamma 90.00
_space_group_name_H-M_alt 'P 4/n m m'
_space_group_IT_number 129
loop_
_space_group_symop_operation_xyz
'x,y,z'
'-x,-y,-z'
'-y+1/2,x,z'
'y+1/2,-x,-z'
'-x+1/2,-y+1/2,z'
'x+1/2,y+1/2,-z'
'y,-x+1/2,z'
'-y,x+1/2,-z'
'x+1/2,-y,-z'
'-x+1/2,y,z'
'-y,-x,-z'
'y,x,z'
'-x,y+1/2,-z'
'x,-y+1/2,z'
'y+1/2,x+1/2,-z'
'-y+1/2,-x+1/2,z'
loop_
_atom_site_label
_atom_site_fract_x
_atom_site_fract_y
_atom_site_fract_z
_atom_site_occupancy
Ba1 0.2500 0.7500 0.0000 1
Ag1 0.2500 0.2500 0.3990 1
P1 0.2500 0.2500 0.8926 1